First-principles (PBE-GGA) data for a relaxed Na2SCl crystal, as listed in Alexandria.

Cell: 6.996 6.996 6.996 Å, 90.00 90.00 90.00°
Sites, in units of the cell vectors:
Na: 0.250 0.250 0.250
Na: 0.250 0.250 0.750
Na: 0.250 0.750 0.250
Na: 0.250 0.750 0.750
Na: 0.750 0.250 0.250
Na: 0.750 0.250 0.750
Na: 0.750 0.750 0.250
Na: 0.750 0.750 0.750
S: 0.000 0.000 0.000
S: 0.000 0.500 0.500
S: 0.500 0.000 0.500
S: 0.500 0.500 0.000
Cl: 0.000 0.000 0.500
Cl: 0.000 0.500 0.000
Cl: 0.500 0.000 0.000
Cl: 0.500 0.500 0.500

For the uncorrected formation energy, the calculation gives -3.62 eV per formula unit. For the density of states at the Fermi level, the calculation gives 1.050 states/eV/atom. Its space group is Fm-3m. As for the crystal system: cubic. For the total moment, the calculation gives 1.00 μB/f.u.